A geometry-optimized ScAlAg2Se4 structure, computed with PBE.

Cell lengths 6.943, 7.373, 8.331 Å; angles 90.00, 90.00, 90.00 degrees
Atoms (fractional coordinates):
Se 0.841 0.838 0.500
Se 0.895 0.337 0.762
Se 0.858 0.872 0.000
Ag 0.516 0.311 0.256
Se 0.395 0.663 0.738
Sc 0.985 0.159 0.500
Ag 0.516 0.311 0.744
Al 0.493 0.827 0.500
Sc 0.485 0.841 0.000
Al 0.993 0.173 0.000
Se 0.358 0.128 0.500
Se 0.341 0.162 0.000
Se 0.895 0.337 0.238
Ag 0.016 0.689 0.756
Se 0.395 0.663 0.262
Ag 0.016 0.689 0.244

Mass density   4.70 g cm⁻³
Formation energy (no corrections)   -76.4 kJ per mole of atoms
Final energy   -4.5063 eV/atom
Space group   Pmn2_1, No. 31